# PBE Ce2ErZn2Ga2, optimized geometry
data_Ce2ErZn2Ga2
_space_group_name_H-M_alt 'P 1'
_space_group_IT_number 1
_cell_length_a 4.332
_cell_length_b 4.332
_cell_length_c 9.313
_cell_angle_alpha 76.55
_cell_angle_beta 76.55
_cell_angle_gamma 60.00
loop_
_space_group_symop_operation_xyz
'x,y,z'
loop_
_atom_site_label
_atom_site_type_symbol
_atom_site_fract_x
_atom_site_fract_y
_atom_site_fract_z
Ce1 Ce 0.141 0.141 0.576
Ce2 Ce 0.859 0.859 0.424
Er1 Er 0.000 0.000 0.000
Ga1 Ga 0.265 0.265 0.205
Ga2 Ga 0.735 0.735 0.795
Zn1 Zn 0.401 0.401 0.797
Zn2 Zn 0.599 0.599 0.203
# * crystal system: trigonal
# * space-group type: R-3m
# * E: -27.92 eV/cell



# PBE CeErZnGa, optimized geometry
data_CeErZnGa
_space_group_name_H-M_alt 'P 1'
_space_group_IT_number 1
_cell_length_a 5.067
_cell_length_b 5.067
_cell_length_c 5.067
_cell_angle_alpha 60.00
_cell_angle_beta 60.00
_cell_angle_gamma 60.00
loop_
_space_group_symop_operation_xyz
'x,y,z'
loop_
_atom_site_label
_atom_site_type_symbol
_atom_site_fract_x
_atom_site_fract_y
_atom_site_fract_z
Ce1 Ce 0.250 0.250 0.250
Zn1 Zn 0.500 0.500 0.500
Er1 Er 0.750 0.750 0.750
Ga1 Ga 0.000 0.000 0.000
# * crystal system: cubic
# * space-group type: F-43m
# * E: -16.46 eV/cell



# PBE CeEr2Zn2Ga2, optimized geometry
data_CeEr2Zn2Ga2
_space_group_name_H-M_alt 'P 1'
_space_group_IT_number 1
_cell_length_a 4.454
_cell_length_b 4.454
_cell_length_c 9.546
_cell_angle_alpha 76.51
_cell_angle_beta 76.51
_cell_angle_gamma 60.00
loop_
_space_group_symop_operation_xyz
'x,y,z'
loop_
_atom_site_label
_atom_site_type_symbol
_atom_site_fract_x
_atom_site_fract_y
_atom_site_fract_z
Ga1 Ga 0.258 0.258 0.225
Ga2 Ga 0.742 0.742 0.775
Zn1 Zn 0.598 0.598 0.205
Zn2 Zn 0.402 0.402 0.795
Ce1 Ce 0.000 0.000 0.000
Er1 Er 0.128 0.128 0.617
Er2 Er 0.872 0.872 0.383
# * crystal system: trigonal
# * space-group type: R-3m
# * E: -26.18 eV/cell



# PBE CeGdEr2, optimized geometry
data_CeGdEr2
_space_group_name_H-M_alt 'P 1'
_space_group_IT_number 1
_cell_length_a 3.531
_cell_length_b 3.531
_cell_length_c 9.908
_cell_angle_alpha 90.00
_cell_angle_beta 90.00
_cell_angle_gamma 90.00
loop_
_space_group_symop_operation_xyz
'x,y,z'
loop_
_atom_site_label
_atom_site_type_symbol
_atom_site_fract_x
_atom_site_fract_y
_atom_site_fract_z
Er1 Er 0.000 0.000 0.756
Er2 Er 0.000 0.000 0.244
Gd1 Gd 0.500 0.500 0.500
Ce1 Ce 0.500 0.500 0.000
# * crystal system: tetragonal
# * space-group type: P4/mmm
# * distance to the lowest polymorph of the same formula: 0 meV per atom



Calculated density of states at the Fermi level in order - 9.09 6.30 7.78 8.36 states/eV/f.u.